[1]
Entry from Alexandria: CsLi2TlCl6 after structural relaxation (PBE).

a b c (Å): 7.1514 7.1569 7.5970
angles (deg): 104.82 104.30 117.71
Closest atoms and distances in Å follow each position.
Space group P1 (No. 1)
One atom of each set of equivalent atoms:
Cs1 0.0000 0.0000 0.0000 (multiplicity 1)  11 Cl 3.67-3.82
Li1 0.2786 0.3895 0.6692 (multiplicity 1)  4 Cl 2.39-2.41
Li2 0.5142 0.7807 0.2931 (multiplicity 1)  5 Cl 2.43-2.60
Tl1 0.8172 0.5275 0.3453 (multiplicity 1)  6 Cl 2.56-2.84
Cl1 0.0817 0.5912 0.1625 (multiplicity 1)  1 Li 2.51, 1 Tl 2.56
Cl2 0.0863 0.5914 0.6794 (multiplicity 1)  1 Li 2.41, 1 Tl 2.56
Cl3 0.5024 0.5254 0.4861 (multiplicity 1)  2 Li 2.41-2.60
Cl4 0.5056 0.5107 0.0159 (multiplicity 1)  2 Li 2.39-2.43
Cl5 0.5705 0.0808 0.1621 (multiplicity 1)  1 Li 2.50, 1 Tl 2.56
Cl6 0.9606 0.9832 0.4857 (multiplicity 1)  2 Li 2.40-2.60

Results
Raw total energy, eV per cell: -32.1
DOS at the Fermi energy, states/eV/atom: 0.000

[2]
Entry from Alexandria: Cs2LiTmCl6 after structural relaxation (PBE).

a b c (Å): 10.5637 10.5637 10.5637
angles (deg): 90.00 90.00 90.00
Closest atoms and distances in Å follow each position.
Space group Fm-3m (No. 225)
One atom of each set of equivalent atoms:
Cs1 0.2500 0.2500 0.2500 (multiplicity 8)  12 Cl 3.73
Li1 0.0000 0.0000 0.0000 (multiplicity 4)  6 Cl 2.67
Tm1 0.0000 0.0000 0.5000 (multiplicity 4)  6 Cl 2.61
Cl1 0.0000 0.0000 0.2525 (multiplicity 24)  1 Tm 2.61, 1 Li 2.67

Results
Raw total energy, eV per cell: -162.0
DOS at the Fermi energy, states/eV/atom: 0.000

[3]
Entry from Alexandria: CsLi2TmCl6 after structural relaxation (PBE).

a b c (Å): 6.5770 6.5810 9.1698
angles (deg): 69.04 69.07 60.03
Closest atoms and distances in Å follow each position.
Space group P-1 (No. 2)
One atom of each set of equivalent atoms:
Cs1 0.0000 0.0000 0.0000 (multiplicity 1)  6 Cl 3.52
Li1 0.1706 0.1708 0.4877 (multiplicity 2)  6 Cl 2.57-2.69
Tm1 0.5000 0.5000 0.5000 (multiplicity 1)  6 Cl 2.61
Cl1 0.1112 0.7738 0.6717 (multiplicity 2)  2 Li 2.57-2.69, 1 Tm 2.61
Cl2 0.2254 0.5564 0.3282 (multiplicity 2)  2 Li 2.57-2.69, 1 Tm 2.61
Cl3 0.4440 0.1102 0.6720 (multiplicity 2)  2 Li 2.57-2.69, 1 Tm 2.61

Results
Raw total energy, eV per cell: -40.9
DOS at the Fermi energy, states/eV/atom: 0.000

[4]
Entry from Alexandria: CsLiTm2Cl8 after structural relaxation (PBE).

a b c (Å): 6.8115 6.9959 8.2914
angles (deg): 89.89 89.96 81.24
Closest atoms and distances in Å follow each position.
Space group P-1 (No. 2)
One atom of each set of equivalent atoms:
Cs1 0.0000 0.0000 0.0000 (multiplicity 1)  4 Cl 3.18
Li1 0.0000 0.0000 0.5000 (multiplicity 1)  4 Cl 2.61-2.63
Tm1 0.5004 0.5001 0.2621 (multiplicity 2)  6 Cl 2.57-2.73
Cl1 0.2556 0.8151 0.7023 (multiplicity 2)  1 Tm 2.57, 1 Li 2.61
Cl2 0.2582 0.8163 0.2970 (multiplicity 2)  1 Tm 2.57, 1 Li 2.63
Cl3 0.2967 0.3662 0.4998 (multiplicity 2)  2 Tm 2.66
Cl4 0.3089 0.3816 0.0006 (multiplicity 2)  2 Tm 2.73

Results
Raw total energy, eV per cell: -51.6
DOS at the Fermi energy, states/eV/atom: 0.000